A geometry-optimized Dy2Ho2TmSc2 structure, computed with GGA-PBE.

SG   C2/m
Total moment   0.00 μB/f.u.
Formation enthalpy at 0 K   0.108 eV per atom
Calculated volume   29.55 Å³/atom

Cell lengths 3.400, 5.866, 11.456 Å; angles 71.85, 90.00, 106.85 degrees
Atoms (fractional coordinates):
Dy  0.670  0.341  0.912
Ho  0.548  0.096  0.232
Sc  0.228  0.455  0.633
Sc  0.772  0.545  0.367
Tm  0.000  0.000  0.500
Ho  0.452  0.904  0.768
Dy  0.330  0.659  0.088

---

A geometry-optimized CsRb2YGe structure, computed with GGA-PBE.

SG   P4/mmm
Total moment   0.00 μB/f.u.
Formation enthalpy at 0 K   0.160 eV per atom
Calculated volume   59.10 Å³/atom

Cell lengths 7.214, 5.678, 7.214 Å; angles 90.00, 90.00, 90.00 degrees
Atoms (fractional coordinates):
Rb  0.500  0.000  0.000
Rb  0.000  0.000  0.500
Ge  0.000  0.000  0.000
Y  0.000  0.500  0.000
Cs  0.500  0.500  0.500

---

A geometry-optimized PtAu4 structure, computed with GGA-PBE.

SG   I4/m
Total moment   0.00 μB/f.u.
Energy above the most stable polymorph in this dataset   0.000 eV/atom
Formation enthalpy at 0 K   0.033 eV per atom
Calculated volume   17.53 Å³/atom

Cell lengths 6.504, 6.504, 5.044 Å; angles 49.86, 49.86, 90.00 degrees
Atoms (fractional coordinates):
Pt  0.000  0.000  0.000
Au  0.202  0.398  0.000
Au  0.602  0.202  0.000
Au  0.398  0.798  0.000
Au  0.798  0.602  0.000